Material: GdPS
Method: DFT, PBEsol
State: optimized geometry

a b c (Å): 6.952 3.637 9.138
angles (deg): 90.00 90.00 90.00
Sites, in units of the cell vectors:
1 Gd 0.205 0.250 0.158
2 Gd 0.295 0.750 0.658
3 Gd 0.705 0.250 0.342
4 Gd 0.795 0.750 0.842
5 P 0.089 0.250 0.461
6 P 0.411 0.750 0.961
7 P 0.589 0.250 0.039
8 P 0.911 0.750 0.539
9 S 0.096 0.250 0.845
10 S 0.404 0.750 0.345
11 S 0.596 0.250 0.655
12 S 0.904 0.750 0.155

Computed properties:
Formation energy from raw total energies (meV per atom): -1593
Total magnetization (μB/f.u.): 7.00
Fermi-level density of states (states/eV/f.u.): 0.151

---

Material: Ca2OsPt
Method: DFT, PBEsol
State: optimized geometry

a b c (Å): 2.781 4.821 5.766
angles (deg): 90.00 90.00 90.00
Sites, in units of the cell vectors:
1 Ca 0.000 0.000 0.000
2 Ca 0.500 0.500 0.344
3 Os 0.000 0.000 0.518
4 Pt 0.500 0.500 0.826

Computed properties:
Energy of formation from the pure elements (eV/atom): 0.26
Total magnetization (μB/f.u.): 0.00
Fermi-level density of states (states/eV/f.u.): 2.580
Energy relative to the lowest polymorph listed for this composition (meV/atom): 227

---

Material: La2MoPt
Method: DFT, PBEsol
State: optimized geometry

a b c (Å): 8.480 8.480 8.480
angles (deg): 25.27 25.27 25.27
Sites, in units of the cell vectors:
1 La 0.247 0.247 0.247
2 La 0.753 0.753 0.753
3 Mo 0.000 0.000 0.000
4 Pt 0.500 0.500 0.500

Computed properties:
Energy of formation from the pure elements (eV/atom): 0.15
Total magnetization (μB/f.u.): 0.40
Fermi-level density of states (states/eV/f.u.): 5.068
Energy relative to the lowest polymorph listed for this composition (meV/atom): 136

---

Material: HfTiPCl2
Method: DFT, PBEsol
State: optimized geometry

a b c (Å): 4.437 4.437 5.088
angles (deg): 90.00 90.00 90.00
Sites, in units of the cell vectors:
1 Hf 0.000 0.000 0.000
2 Ti 0.500 0.500 0.500
3 P 0.500 0.500 0.000
4 Cl 0.000 0.500 0.500
5 Cl 0.500 0.000 0.500

Computed properties:
Formation energy from raw total energies (meV per atom): -198
Total magnetization (μB/f.u.): 1.14
Fermi-level density of states (states/eV/f.u.): 4.412

---

Material: K2PtSe
Method: DFT, PBEsol
State: optimized geometry

a b c (Å): 5.107 5.107 4.222
angles (deg): 90.00 90.00 117.16
Sites, in units of the cell vectors:
1 K 0.000 0.500 0.000
2 K 0.500 0.000 0.000
3 Pt 0.000 0.000 0.500
4 Se 0.500 0.500 0.500

Computed properties:
Formation energy from raw total energies (meV per atom): -206
Total magnetization (μB/f.u.): 0.00
Fermi-level density of states (states/eV/f.u.): 3.626

---

Material: AlSbOs2
Method: DFT, PBEsol
State: optimized geometry

a b c (Å): 2.880 2.880 8.007
angles (deg): 90.00 90.00 90.00
Sites, in units of the cell vectors:
1 Al 0.000 0.000 0.000
2 Sb 0.500 0.500 0.692
3 Os 0.000 0.000 0.421
4 Os 0.500 0.500 0.215

Computed properties:
Formation energy from raw total energies (meV per atom): 197
Total magnetization (μB/f.u.): 0.00
Fermi-level density of states (states/eV/f.u.): 1.488
Energy relative to the lowest polymorph listed for this composition (meV/atom): 0

---

Repeat the first record exactly.
Material: GdPS
Method: DFT, PBEsol
State: optimized geometry

a b c (Å): 6.952 3.637 9.138
angles (deg): 90.00 90.00 90.00
Sites, in units of the cell vectors:
1 Gd 0.205 0.250 0.158
2 Gd 0.295 0.750 0.658
3 Gd 0.705 0.250 0.342
4 Gd 0.795 0.750 0.842
5 P 0.089 0.250 0.461
6 P 0.411 0.750 0.961
7 P 0.589 0.250 0.039
8 P 0.911 0.750 0.539
9 S 0.096 0.250 0.845
10 S 0.404 0.750 0.345
11 S 0.596 0.250 0.655
12 S 0.904 0.750 0.155

Computed properties:
Formation energy from raw total energies (meV per atom): -1593
Total magnetization (μB/f.u.): 7.00
Fermi-level density of states (states/eV/f.u.): 0.151

---

Q: Look up the Fermi-level density of states of the fourth one.
A: 4.412 states/eV/f.u.

---

Q: The highest Fermi-level density of states belongs to which entry?
A: La2MoPt

---

Q: total magnetization of number 3 (La2MoPt)?
A: 0.40 μB/f.u.